Record 1
Here is a relaxed structure of Pm2Nd4TmSc from Alexandria. Energies are from GGA-PBE.

Cell lengths 5.0985, 5.1264, 10.0610 Å; angles 90.00, 90.06, 90.00 degrees
Space group P2/m (No. 10)
Unique sites:
Pm: 0.0000 0.0000 0.0000 [1 per cell]
Pm: 0.5000 0.5000 0.5000 [1 per cell]
Nd: 0.0002 0.5000 0.2533 [2 per cell]
Nd: 0.4995 0.0000 0.7458 [2 per cell]
Tm: 0.5000 0.5000 0.0000 [1 per cell]
Sc: 0.0000 0.0000 0.5000 [1 per cell]

Summary:
E_tot = -39.141 eV/f.u.
Calculated formation energy = 0.0294 eV per atom
Spin magnetization = 0.000 μB/atom
DOS at the Fermi energy = 1.42 states/eV/atom

Record 2
Here is a relaxed structure of Sr2ReRh from Alexandria. Energies are from GGA-PBE.

Cell lengths 2.9998, 4.4483, 6.9149 Å; angles 90.00, 90.40, 90.00 degrees
Space group P2/m (No. 10)
Unique sites:
Sr: 0.0037 0.0000 0.2576 [2 per cell]
Re: 0.5000 0.5000 0.0000 [1 per cell]
Rh: 0.5000 0.5000 0.5000 [1 per cell]

Summary:
E_tot = -19.778 eV/f.u.
Calculated formation energy = 0.8462 eV per atom
Spin magnetization = 0.000 μB/atom
ΔE to the lowest computed polymorph = 674 meV per atom
DOS at the Fermi energy = 1.78 states/eV/atom

Record 3
Here is a relaxed structure of BaCdH3 from Alexandria. Energies are from GGA-PBE.

Cell lengths 7.1790, 5.5914, 8.9312 Å; angles 90.00, 90.00, 90.00 degrees
Space group Pnma (No. 62)
Unique sites:
Ba: 0.2419 0.2500 0.0921 [4 per cell]
Cd: 0.0201 0.2500 0.7413 [4 per cell]
H: 0.0893 0.2500 0.5433 [4 per cell]
H: 0.0906 0.5200 0.8443 [8 per cell]

Summary:
E_tot = -13.822 eV/f.u.
Spin magnetization = 0.000 μB/atom
ΔE to the lowest computed polymorph = 82 meV per atom
DOS at the Fermi energy = 0.12 states/eV/atom

Record 4
Here is a relaxed structure of Sc4InHg2 from Alexandria. Energies are from GGA-PBE.

Cell lengths 5.4262, 5.4262, 12.0991 Å; angles 90.00, 90.00, 90.00 degrees
Space group I4/mmm (No. 139)
Unique sites:
Sc: 0.0000 0.5000 0.0000 [4 per cell]
Sc: 0.0000 0.5000 0.2500 [4 per cell]
In: 0.0000 0.0000 0.0000 [2 per cell]
Hg: 0.0000 0.0000 0.3641 [4 per cell]

Summary:
E_tot = -28.355 eV/f.u.
Calculated formation energy = 0.0447 eV per atom
Spin magnetization = 0.224 μB/atom
ΔE to the lowest computed polymorph = 301 meV per atom
DOS at the Fermi energy = 1.17 states/eV/atom

Record 5
Here is a relaxed structure of ThMn2GeC from Alexandria. Energies are from GGA-PBE.

Cell lengths 3.8626, 10.9402, 7.2104 Å; angles 90.00, 90.00, 90.00 degrees
Space group Cmcm (No. 63)
Unique sites:
Th: 0.0000 0.0469 0.2500 [4 per cell]
Mn: 0.0000 0.3348 0.0604 [8 per cell]
Ge: 0.0000 0.2327 0.7500 [4 per cell]
C: 0.0000 0.5000 0.0000 [4 per cell]

Summary:
E_tot = -41.523 eV/f.u.
Calculated formation energy = -0.3845 eV per atom
Spin magnetization = 0.533 μB/atom
DOS at the Fermi energy = 0.67 states/eV/atom

Record 6
Here is a relaxed structure of CaAc7Nd4 from Alexandria. Energies are from GGA-PBE.

Cell lengths 6.7696, 7.7940, 9.7022 Å; angles 89.36, 76.79, 89.86 degrees
Space group P-1 (No. 2)
Unique sites:
Ca: 0.0000 0.0000 0.0000 [1 per cell]
Ac: 0.0000 0.5000 0.0000 [1 per cell]
Ac: 0.2239 0.0003 0.3380 [2 per cell]
Ac: 0.2840 0.2586 0.6614 [2 per cell]
Ac: 0.4963 0.7434 0.9942 [2 per cell]
Nd: 0.2206 0.5008 0.3320 [2 per cell]
Nd: 0.2785 0.7438 0.6639 [2 per cell]

Summary:
E_tot = -49.434 eV/f.u.
Calculated formation energy = 0.0331 eV per atom
Spin magnetization = 0.000 μB/atom
DOS at the Fermi energy = 1.50 states/eV/atom

Record 7
Here is a relaxed structure of Bi3TeS from Alexandria. Energies are from GGA-PBE.

Cell lengths 5.4327, 5.4327, 5.4327 Å; angles 90.00, 90.00, 90.00 degrees
Space group Pm-3m (No. 221)
Unique sites:
Bi: 0.0000 0.0000 0.5000 [3 per cell]
Te: 0.5000 0.5000 0.5000 [1 per cell]
S: 0.0000 0.0000 0.0000 [1 per cell]

Summary:
E_tot = -16.819 eV/f.u.
Spin magnetization = 0.000 μB/atom
ΔE to the lowest computed polymorph = 0 meV per atom
DOS at the Fermi energy = 0.88 states/eV/atom
Formation energy from raw total energies = 0.42 eV per atom

Record 8
Here is a relaxed structure of RbCu3Cl6 from Alexandria. Energies are from GGA-PBE.

Cell lengths 8.7632, 13.2028, 3.9921 Å; angles 90.00, 90.00, 90.00 degrees
Space group Cmmm (No. 65)
Unique sites:
Rb: 0.0000 0.0000 0.0000 [2 per cell]
Cu: 0.0000 0.5000 0.0000 [2 per cell]
Cu: 0.2500 0.2500 0.5000 [4 per cell]
Cl: 0.0000 0.1927 0.5000 [4 per cell]
Cl: 0.1840 0.3753 0.0000 [8 per cell]

Summary:
E_tot = -31.691 eV/f.u.
Spin magnetization = 0.000 μB/atom
ΔE to the lowest computed polymorph = 41 meV per atom
DOS at the Fermi energy = 0.39 states/eV/atom
Formation energy from raw total energies = -0.74 eV per atom

Record 9
Here is a relaxed structure of RbTiIF2 from Alexandria. Energies are from GGA-PBE.

Cell lengths 4.7213, 4.7213, 6.4447 Å; angles 90.00, 90.00, 90.00 degrees
Space group P4/mmm (No. 123)
Unique sites:
Rb: 0.0000 0.0000 0.0000 [1 per cell]
Ti: 0.0000 0.0000 0.5000 [1 per cell]
I: 0.5000 0.5000 0.5000 [1 per cell]
F: 0.0000 0.5000 0.0000 [2 per cell]

Summary:
E_tot = -17.406 eV/f.u.
Spin magnetization = 0.400 μB/atom
DOS at the Fermi energy = 1.09 states/eV/atom
Formation energy from raw total energies = -0.65 eV per atom

Record 10
Here is a relaxed structure of RhIN2O from Alexandria. Energies are from GGA-PBE.

Cell lengths 4.0942, 4.0942, 3.9964 Å; angles 90.00, 90.00, 90.00 degrees
Space group P4/mmm (No. 123)
Unique sites:
Rh: 0.0000 0.0000 0.0000 [1 per cell]
I: 0.5000 0.5000 0.5000 [1 per cell]
N: 0.0000 0.5000 0.5000 [2 per cell]
O: 0.5000 0.5000 0.0000 [1 per cell]

Summary:
E_tot = -20.855 eV/f.u.
Spin magnetization = 0.566 μB/atom
DOS at the Fermi energy = 1.09 states/eV/atom
Formation energy from raw total energies = 1.93 eV per atom

Record 11
Here is a relaxed structure of Nd3Sc4Sn4 from Alexandria. Energies are from GGA-PBE.

Cell lengths 4.3626, 8.8344, 15.8927 Å; angles 90.00, 90.00, 90.00 degrees
Space group Immm (No. 71)
Unique sites:
Nd: 0.0000 0.0000 0.0000 [2 per cell]
Nd: 0.0000 0.5000 0.1132 [4 per cell]
Sc: 0.0000 0.3047 0.3252 [8 per cell]
Sn: 0.0000 0.0000 0.2322 [4 per cell]
Sn: 0.0000 0.2112 0.5000 [4 per cell]

Summary:
E_tot = -62.192 eV/f.u.
Calculated formation energy = -0.5956 eV per atom
Spin magnetization = 0.269 μB/atom
DOS at the Fermi energy = 1.12 states/eV/atom

Record 12
Here is a relaxed structure of MgSiNi3 from Alexandria. Energies are from GGA-PBE.

Cell lengths 4.2608, 4.2608, 4.2608 Å; angles 90.00, 90.00, 90.00 degrees
Space group Pm-3m (No. 221)
Unique sites:
Mg: 0.0000 0.0000 0.0000 [1 per cell]
Si: 0.5000 0.5000 0.5000 [1 per cell]
Ni: 0.0000 0.0000 0.5000 [3 per cell]

Summary:
E_tot = -18.515 eV/f.u.
Spin magnetization = 0.000 μB/atom
ΔE to the lowest computed polymorph = 1426 meV per atom
DOS at the Fermi energy = 0.85 states/eV/atom
Formation energy from raw total energies = 1.17 eV per atom